Below is a relaxed structure of CuAg, with properties calculated at the PBE-GGA level.

a b c (Å): 9.4432 9.4432 5.6883
angles (deg): 98.67 98.67 17.36
Last column: nearest neighbours and their distance in Å.
Sites, in units of the cell vectors:
Cu 0.0000 0.0000 0.0000  10 Ag 2.83-2.84, 2 Cu 2.85
Cu 0.2089 0.2089 0.6030  4 Cu 2.50-2.51, 4 Ag 2.74
Cu 0.2103 0.2103 0.1067  4 Cu 2.50, 4 Ag 2.72-2.73
Cu 0.7897 0.7897 0.8933  4 Cu 2.50, 4 Ag 2.72-2.73
Cu 0.7911 0.7911 0.3970  4 Cu 2.50-2.51, 4 Ag 2.74
Ag 0.0000 0.0000 0.5000  2 Cu 2.84, 10 Ag 2.85-2.87
Ag 0.3904 0.3904 0.1901  6 Cu 2.73-2.84, 6 Ag 2.79-2.90
Ag 0.3907 0.3907 0.7005  6 Cu 2.72-2.83, 6 Ag 2.79-2.90
Ag 0.6093 0.6093 0.2995  6 Cu 2.72-2.83, 6 Ag 2.79-2.90
Ag 0.6096 0.6096 0.8099  6 Cu 2.73-2.84, 6 Ag 2.79-2.90

SG: C2/m

---

Below is a relaxed structure of CuAg2, with properties calculated at the PBE-GGA level.

a b c (Å): 13.4102 13.4102 13.4102
angles (deg): 167.70 163.67 20.50
Last column: nearest neighbours and their distance in Å.
Sites, in units of the cell vectors:
Cu 0.0000 0.0000 0.0000  2 Ag 2.63, 10 Cu 2.68-2.87
Cu 0.4535 0.4535 0.0000  5 Cu 2.46-2.68
Cu 0.5465 0.5465 0.0000  5 Cu 2.46-2.68
Ag 0.0995 0.0995 0.0000  5 Cu 2.63-2.77, 6 Ag 2.87
Ag 0.2199 0.2199 0.0000  12 Ag 2.87-3.18
Ag 0.3404 0.3404 0.0000  11 Ag 2.87-3.18, 1 Cu 2.99
Ag 0.6596 0.6596 0.0000  11 Ag 2.87-3.18, 1 Cu 2.99
Ag 0.7801 0.7801 0.0000  12 Ag 2.87-3.18
Ag 0.9005 0.9005 0.0000  5 Cu 2.63-2.77, 6 Ag 2.87

SG: Immm

---

Below is a relaxed structure of Cu3Ag4, with properties calculated at the PBE-GGA level.

a b c (Å): 15.8980 15.8980 15.8980
angles (deg): 10.13 10.13 10.13
Last column: nearest neighbours and their distance in Å.
Sites, in units of the cell vectors:
Cu 0.0000 0.0000 0.0000  9 Cu 2.54-2.81, 3 Ag 2.76
Cu 0.1350 0.1350 0.1350  6 Ag 2.75, 6 Cu 2.81
Cu 0.7078 0.7078 0.7078  9 Cu 2.54-2.81, 3 Ag 2.76
Ag 0.2864 0.2864 0.2864  3 Cu 2.76, 9 Ag 2.81-2.97
Ag 0.4215 0.4215 0.4215  6 Cu 2.75-2.76, 6 Ag 2.81
Ag 0.5673 0.5673 0.5673  12 Ag 2.81-2.97
Ag 0.8485 0.8485 0.8485  3 Cu 2.75, 9 Ag 2.81-2.96

SG: R3m

---

E_form: 0.078 0.067 0.096 (eV per atom)